No. 1
Below is PmGe2Pd after structural relaxation, with properties calculated at the PBE level.

Energy relative to the elements ... -12.60 kcal/mol of atoms
Space group ... P4/mmm (123)
Relative energy among the computed polymorphs ... 200.2 meV per atom
M_tot ... 0.00 μB/f.u.

Unit cell a=4.2910 b=4.3065 c=4.3065 alpha=90.00 beta=90.00 gamma=90.00
Atoms (fractional coordinates):
Ge 0.0000 0.0000 0.5000
Ge 0.0000 0.5000 0.0000
Pd 0.5000 0.0000 0.0000
Pm 0.5000 0.5000 0.5000



No. 2
Below is Pm2Ge3Pd5 after structural relaxation, with properties calculated at the PBE level.

Energy relative to the elements ... -18.03 kcal/mol of atoms
Space group ... Ibam (72)
Relative energy among the computed polymorphs ... 0.0 meV per atom
M_tot ... 0.00 μB/f.u.

Unit cell a=5.9223 b=8.5462 c=8.5462 alpha=81.97 beta=69.73 gamma=69.73
Atoms (fractional coordinates):
Pm 0.1347 0.5902 0.1404
Pm 0.6347 0.1404 0.5902
Pm 0.8653 0.4098 0.8596
Pm 0.3653 0.8596 0.4098
Ge 0.3634 0.5181 0.7551
Ge 0.8634 0.7551 0.5181
Ge 0.6366 0.4819 0.2449
Ge 0.1366 0.2449 0.4819
Ge 0.2500 0.0000 0.0000
Ge 0.7500 0.0000 0.0000
Pd 0.4029 0.2616 0.9326
Pd 0.9029 0.9326 0.2616
Pd 0.5971 0.7384 0.0674
Pd 0.0971 0.0674 0.7384
Pd 0.4806 0.7694 0.7694
Pd 0.5194 0.2306 0.2306
Pd 0.7500 0.5000 0.5000
Pd 0.2500 0.5000 0.5000
Pd 0.0194 0.2306 0.2306
Pd 0.9806 0.7694 0.7694



No. 3
Below is Pm7Ge2Pd2 after structural relaxation, with properties calculated at the PBE level.

Energy relative to the elements ... -8.37 kcal/mol of atoms
Space group ... Cmmm (65)
M_tot ... 0.00 μB/f.u.

Unit cell a=6.8746 b=7.0587 c=6.8746 alpha=90.00 beta=107.93 gamma=90.00
Atoms (fractional coordinates):
Pm 0.0000 0.2728 0.5000
Pm 0.5000 0.7272 0.0000
Pm 0.0000 0.7272 0.5000
Pm 0.5000 0.2728 0.0000
Pm 0.0000 0.0000 0.0000
Pm 0.5000 0.7428 0.5000
Pm 0.5000 0.2572 0.5000
Ge 0.8338 0.5000 0.8338
Ge 0.1662 0.5000 0.1662
Pd 0.7141 0.0000 0.2859
Pd 0.2859 0.0000 0.7141



No. 4
Below is Pm2GePd after structural relaxation, with properties calculated at the PBE level.

Energy relative to the elements ... -17.06 kcal/mol of atoms
Space group ... Fm-3m (225)
Relative energy among the computed polymorphs ... 82.1 meV per atom
M_tot ... 0.00 μB/f.u.

Unit cell a=5.1464 b=5.1464 c=5.1464 alpha=60.00 beta=60.00 gamma=60.00
Atoms (fractional coordinates):
Ge 0.5000 0.5000 0.5000
Pd 0.0000 0.0000 0.0000
Pm 0.2500 0.2500 0.2500
Pm 0.7500 0.7500 0.7500



No. 5
Below is Pm12GePd6 after structural relaxation, with properties calculated at the PBE level.

Energy relative to the elements ... -10.51 kcal/mol of atoms
Space group ... R-3 (148)
M_tot ... 0.00 μB/f.u.

Unit cell a=8.5098 b=8.5098 c=8.5098 alpha=99.61 beta=99.61 gamma=99.61
Atoms (fractional coordinates):
Pm 0.8197 0.5882 0.4235
Pm 0.4235 0.8197 0.5882
Pm 0.5882 0.4235 0.8197
Pm 0.1803 0.4118 0.5765
Pm 0.5765 0.1803 0.4118
Pm 0.4118 0.5765 0.1803
Pm 0.0877 0.9419 0.3244
Pm 0.0581 0.6756 0.9123
Pm 0.6756 0.9123 0.0581
Pm 0.9123 0.0581 0.6756
Pm 0.9419 0.3244 0.0877
Pm 0.3244 0.0877 0.9419
Ge 0.0000 0.0000 0.0000
Pd 0.6777 0.8653 0.3857
Pd 0.6143 0.3223 0.1347
Pd 0.1347 0.6143 0.3223
Pd 0.3223 0.1347 0.6143
Pd 0.3857 0.6777 0.8653
Pd 0.8653 0.3857 0.6777



No. 6
Below is PmGe4Pd12 after structural relaxation, with properties calculated at the PBE level.

Energy relative to the elements ... -6.87 kcal/mol of atoms
Space group ... Im-3 (204)
M_tot ... 0.00 μB/f.u.

Unit cell a=7.3982 b=7.3982 c=7.3982 alpha=109.47 beta=109.47 gamma=109.47
Atoms (fractional coordinates):
Pm 0.0000 0.0000 0.0000
Ge 0.0000 0.5000 0.0000
Ge 0.5000 0.0000 0.0000
Ge 0.5000 0.5000 0.5000
Ge 0.0000 0.0000 0.5000
Pd 0.8391 0.3433 0.1825
Pd 0.3433 0.5042 0.1609
Pd 0.8175 0.1609 0.6567
Pd 0.3433 0.1825 0.8391
Pd 0.1825 0.8391 0.3433
Pd 0.6567 0.4958 0.8391
Pd 0.5042 0.1609 0.3433
Pd 0.4958 0.8391 0.6567
Pd 0.6567 0.8175 0.1609
Pd 0.8391 0.6567 0.4958
Pd 0.1609 0.3433 0.5042
Pd 0.1609 0.6567 0.8175



No. 7
Below is Pm6GePd2 after structural relaxation, with properties calculated at the PBE level.

Energy relative to the elements ... -10.15 kcal/mol of atoms
Space group ... P2_1/c (14)
M_tot ... 0.00 μB/f.u.

Unit cell a=6.6647 b=7.5266 c=10.6742 alpha=90.00 beta=93.48 gamma=90.00
Atoms (fractional coordinates):
Pm 0.8452 0.9481 0.2429
Pm 0.8152 0.6636 0.5699
Pm 0.8499 0.6834 0.9222
Pm 0.6501 0.1834 0.5778
Pm 0.6848 0.1636 0.9301
Pm 0.6548 0.4481 0.2571
Pm 0.1548 0.0519 0.7571
Pm 0.1848 0.3364 0.4301
Pm 0.1501 0.3166 0.0778
Pm 0.3499 0.8166 0.4222
Pm 0.3152 0.8364 0.0699
Pm 0.3452 0.5519 0.7429
Ge 0.5000 0.5000 0.0000
Ge 0.0000 0.0000 0.5000
Pd 0.9353 0.3863 0.7584
Pd 0.5647 0.8863 0.7416
Pd 0.4353 0.1137 0.2584
Pd 0.0647 0.6137 0.2416



No. 8
Below is Pm3Ge3Pd after structural relaxation, with properties calculated at the PBE level.

Energy relative to the elements ... -20.73 kcal/mol of atoms
Space group ... C2/m (12)
Relative energy among the computed polymorphs ... 0.0 meV per atom
M_tot ... 0.00 μB/f.u.

Unit cell a=4.4079 b=5.8903 c=13.6345 alpha=84.28 beta=80.70 gamma=68.03
Atoms (fractional coordinates):
Pm 0.5327 0.3147 0.6199
Pm 0.4673 0.6853 0.3801
Pm 0.2575 0.2569 0.2281
Pm 0.7425 0.7431 0.7719
Pm 0.3989 0.2792 0.9229
Pm 0.6011 0.7208 0.0771
Ge 0.8723 0.7091 0.5462
Ge 0.1277 0.2909 0.4538
Ge 0.1193 0.8373 0.9241
Ge 0.8807 0.1627 0.0759
Ge 0.9650 0.8388 0.2313
Ge 0.0350 0.1612 0.7687
Pd 0.7549 0.0914 0.3988
Pd 0.2451 0.9086 0.6012